{
  "formula": "Sc5TlTe8",
  "functional": "PBE",
  "state": "optimized geometry",
  "lattice": [[-0.196, 0.990, -8.720], [5.721, -4.349, -5.041], [-2.767, -6.584, -5.104]],
  "species": ["Sc", "Sc", "Sc", "Sc", "Sc", "Tl", "Te", "Te", "Te", "Te", "Te", "Te", "Te", "Te"],
  "fractional_positions": [[0.000, 0.000, 0.000], [0.622, 0.622, 0.135], [0.622, 0.622, 0.622], [0.135, 0.622, 0.622], [0.622, 0.135, 0.622], [0.250, 0.250, 0.250], [0.390, 0.829, 0.390], [0.829, 0.390, 0.390], [0.390, 0.390, 0.390], [0.390, 0.390, 0.829], [0.868, 0.868, 0.396], [0.396, 0.868, 0.868], [0.868, 0.868, 0.868], [0.868, 0.396, 0.868]],
  "rho_g_cm3": 5.03,
  "e_form_raw_ev_per_atom": -1.0168,
  "m_tot_mub_per_fu": 0.00,
  "dos_at_fermi_per_ev_atom": 0.076
}